No. 1
YSeO3: single point on PBEsol structure, SCAN.

The calculation puts the total energy at -15.663 eV/atom. For the formation energy without anion corrections, the calculation gives -2.340 eV/atom.

Cell: 5.9066 12.1762 8.8044 Å, 90.00 106.35 90.00°
With the nearest neighbours (Å) after each atom.
Fractional coordinates of all 40 atoms:
Y 0.1366 0.2417 0.1565  4 O 2.08-2.32
Y 0.1366 0.2583 0.6565  4 O 2.08-2.32
Y 0.2618 0.5614 0.0833  7 O 2.15-2.40
Y 0.2618 0.9386 0.5833  7 O 2.15-2.40
Y 0.7382 0.0614 0.4167  7 O 2.15-2.40
Y 0.7382 0.4386 0.9167  7 O 2.15-2.40
Y 0.8634 0.7417 0.3435  4 O 2.08-2.32
Y 0.8634 0.7583 0.8435  4 O 2.08-2.32
Se 0.1248 0.5181 0.6751  2 O 1.79-1.80
Se 0.1248 0.9819 0.1751  2 O 1.79-1.80
Se 0.4543 0.6555 0.4830  3 O 1.72-1.74
Se 0.4543 0.8445 0.9830  3 O 1.72-1.74
Se 0.5457 0.1555 0.0170  3 O 1.72-1.74
Se 0.5457 0.3445 0.5170  3 O 1.72-1.74
Se 0.8752 0.0181 0.8249  2 O 1.79-1.80
Se 0.8752 0.4819 0.3249  2 O 1.79-1.80
O 0.0610 0.5882 0.2823  1 Se 1.80
O 0.0610 0.9118 0.7823  1 Se 1.80
O 0.0933 0.0954 0.5819  3 Y 2.08-2.23
O 0.0933 0.4046 0.0819  3 Y 2.08-2.23
O 0.2493 0.7470 0.9937  1 Se 1.72
O 0.2493 0.7530 0.4937  1 Se 1.72
O 0.2838 0.2238 0.9238  1 Se 1.74
O 0.2838 0.2762 0.4238  1 Se 1.74
O 0.3639 0.5167 0.8526  1 Se 1.79
O 0.3639 0.9833 0.3526  1 Se 1.79
O 0.4808 0.6765 0.2951  1 Se 1.72
O 0.4808 0.8235 0.7951  1 Se 1.72
O 0.5192 0.1765 0.2049  1 Se 1.72
O 0.5192 0.3235 0.7049  1 Se 1.72
O 0.6361 0.0167 0.6474  1 Se 1.79
O 0.6361 0.4833 0.1474  1 Se 1.79
O 0.7162 0.7238 0.5762  1 Se 1.74
O 0.7162 0.7762 0.0762  1 Se 1.74
O 0.7507 0.2470 0.5063  1 Se 1.72
O 0.7507 0.2530 0.0063  1 Se 1.72
O 0.9067 0.5954 0.9181  3 Y 2.08-2.23
O 0.9067 0.9046 0.4181  3 Y 2.08-2.23
O 0.9390 0.0882 0.2177  1 Se 1.80
O 0.9390 0.4118 0.7177  1 Se 1.80


No. 2
ZnSeO2: single point on PBEsol structure, SCAN.

The calculation puts the total energy at -11.280 eV/atom. For the formation energy without anion corrections, the calculation gives 0.234 eV/atom.

Cell: 5.5959 5.5959 5.5959 Å, 90.00 90.00 90.00°
With the nearest neighbours (Å) after each atom.
Fractional coordinates of all 16 atoms:
Zn 0.0000 0.0000 0.0000  8 O 2.42
Zn 0.0000 0.5000 0.5000  8 O 2.42
Zn 0.5000 0.0000 0.5000  8 O 2.42
Zn 0.5000 0.5000 0.0000  8 O 2.42
Se 0.0000 0.0000 0.5000  8 O 2.42
Se 0.0000 0.5000 0.0000  8 O 2.42
Se 0.5000 0.0000 0.0000  8 O 2.42
Se 0.5000 0.5000 0.5000  8 O 2.42
O 0.2500 0.2500 0.2500  4 Se 2.42, 4 Zn 2.42
O 0.2500 0.2500 0.7500  4 Se 2.42, 4 Zn 2.42
O 0.2500 0.7500 0.2500  4 Se 2.42, 4 Zn 2.42
O 0.2500 0.7500 0.7500  4 Se 2.42, 4 Zn 2.42
O 0.7500 0.2500 0.2500  4 Se 2.42, 4 Zn 2.42
O 0.7500 0.2500 0.7500  4 Se 2.42, 4 Zn 2.42
O 0.7500 0.7500 0.2500  4 Se 2.42, 4 Zn 2.42
O 0.7500 0.7500 0.7500  4 Zn 2.42, 4 Se 2.42


No. 3
ZrSeO3: single point on PBEsol structure, SCAN.

The calculation puts the total energy at -15.458 eV/atom. For the formation energy without anion corrections, the calculation gives -1.564 eV/atom.

Cell: 4.1009 4.1009 4.1009 Å, 90.00 90.00 90.00°
With the nearest neighbours (Å) after each atom.
Fractional coordinates of all 5 atoms:
Zr 0.0000 0.0000 0.0000  6 O 2.05
Se 0.5000 0.5000 0.5000  12 O 2.90
O 0.0000 0.0000 0.5000  2 Zr 2.05
O 0.0000 0.5000 0.0000  2 Zr 2.05
O 0.5000 0.0000 0.0000  2 Zr 2.05


No. 4
ZrSe2O: single point on PBEsol structure, SCAN.

The calculation puts the total energy at -18.801 eV/atom. For the formation energy without anion corrections, the calculation gives 0.470 eV/atom.

Cell: 3.1926 3.1926 24.5470 Å, 90.00 90.00 120.00°
With the nearest neighbours (Å) after each atom.
Fractional coordinates of all 12 atoms:
Zr 0.0000 0.0000 0.0000  2 Se 2.56
Zr 0.3333 0.6667 0.6667  2 Se 2.56
Zr 0.6667 0.3333 0.3333  2 Se 2.56
Se 0.0000 0.0000 0.1043  3 O 2.40, 1 Zr 2.56
Se 0.0000 0.0000 0.8957  3 O 2.40, 1 Zr 2.56
Se 0.3333 0.6667 0.5624  3 O 2.40, 1 Zr 2.56
Se 0.3333 0.6667 0.7709  3 O 2.40, 1 Zr 2.56
Se 0.6667 0.3333 0.2291  3 O 2.40, 1 Zr 2.56
Se 0.6667 0.3333 0.4376  3 O 2.40, 1 Zr 2.56
O 0.0000 0.0000 0.5000  6 Se 2.40
O 0.3333 0.6667 0.1667  6 Se 2.40
O 0.6667 0.3333 0.8333  6 Se 2.40


No. 5
SiO2: single point on PBEsol structure, SCAN.

The calculation puts the total energy at -10.523 eV/atom. For the formation energy without anion corrections, the calculation gives -3.031 eV/atom.

Cell: 8.7899 7.7711 5.3004 Å, 82.17 61.15 36.68°
With the nearest neighbours (Å) after each atom.
Fractional coordinates of all 12 atoms:
Si 0.0618 0.0618 0.6882  4 O 1.61-1.63
Si 0.3118 0.3118 0.9382  4 O 1.61-1.63
Si 0.6882 0.6882 0.0618  4 O 1.61-1.63
Si 0.9382 0.9382 0.3118  4 O 1.61-1.63
O 0.0000 0.0000 0.0000  2 Si 1.61
O 0.0000 0.0000 0.5000  2 Si 1.61
O 0.0000 0.5000 0.0000  2 Si 1.61
O 0.1891 0.5609 0.1891  2 Si 1.63
O 0.4391 0.8109 0.4391  2 Si 1.63
O 0.5000 0.0000 0.0000  2 Si 1.61
O 0.5609 0.1891 0.5609  2 Si 1.63
O 0.8109 0.4391 0.8109  2 Si 1.63


No. 6
Si2Sn2O7: single point on PBEsol structure, SCAN.

The calculation puts the total energy at -14.635 eV/atom. For the formation energy without anion corrections, the calculation gives -2.317 eV/atom.

Cell: 6.6218 6.6994 12.8119 Å, 80.20 84.69 82.74°
With the nearest neighbours (Å) after each atom.
Fractional coordinates of all 44 atoms:
Si 0.0629 0.2118 0.2006  4 O 1.61-1.76
Si 0.1500 0.2238 0.4244  4 O 1.61-1.70
Si 0.3536 0.1067 0.6268  4 O 1.63-1.66
Si 0.4344 0.7102 0.1287  4 O 1.61-1.66
Si 0.5656 0.2898 0.8713  4 O 1.61-1.66
Si 0.6464 0.8933 0.3732  4 O 1.63-1.66
Si 0.8500 0.7762 0.5756  4 O 1.61-1.70
Si 0.9371 0.7882 0.7994  4 O 1.61-1.76
Sn 0.0599 0.2580 0.8838  4 O 2.27-2.46
Sn 0.1578 0.7395 0.3605  5 O 2.00-2.09
Sn 0.3446 0.5787 0.6503  4 O 2.30-2.51
Sn 0.4202 0.8122 0.8606  6 O 1.99-2.14
Sn 0.5798 0.1878 0.1394  6 O 1.99-2.14
Sn 0.6554 0.4213 0.3497  4 O 2.30-2.51
Sn 0.8422 0.2605 0.6395  5 O 2.00-2.09
Sn 0.9401 0.7420 0.1162  4 O 2.27-2.46
O 0.0528 0.5731 0.7713  1 Si 1.62
O 0.0746 0.7407 0.5144  1 Si 1.63
O 0.0992 0.9020 0.8524  1 Si 1.65
O 0.1206 0.0859 0.3279  2 Si 1.70-1.76
O 0.1458 0.2333 0.6775  1 Si 1.66
O 0.2201 0.7638 0.2017  1 Si 1.66
O 0.2452 0.4344 0.3786  1 Si 1.61
O 0.2750 0.2188 0.1285  1 Si 1.61
O 0.3035 0.0812 0.5067  2 Si 1.63-1.65
O 0.3529 0.7140 0.0137  1 Si 1.61
O 0.4075 0.1230 0.8653  1 Si 1.64
O 0.4101 0.8801 0.6957  1 Si 1.64
O 0.4482 0.5138 0.8225  1 Si 1.65
O 0.4585 0.7573 0.3765  1 Si 1.63
O 0.5415 0.2427 0.6235  1 Si 1.63
O 0.5518 0.4862 0.1775  1 Si 1.65
O 0.5899 0.1199 0.3043  1 Si 1.64
O 0.5925 0.8770 0.1347  1 Si 1.64
O 0.6471 0.2860 0.9863  1 Si 1.61
O 0.6965 0.9188 0.4933  2 Si 1.63-1.65
O 0.7250 0.7812 0.8715  1 Si 1.61
O 0.7548 0.5656 0.6214  1 Si 1.61
O 0.7799 0.2362 0.7983  1 Si 1.66
O 0.8542 0.7667 0.3225  1 Si 1.66
O 0.8794 0.9141 0.6721  2 Si 1.70-1.76
O 0.9008 0.0980 0.1476  1 Si 1.65
O 0.9254 0.2593 0.4856  1 Si 1.63
O 0.9472 0.4269 0.2287  1 Si 1.62


No. 7
ZnSi4SnO10: single point on PBEsol structure, SCAN.

The calculation puts the total energy at -12.055 eV/atom. For the formation energy without anion corrections, the calculation gives -2.566 eV/atom.

Cell: 7.4838 7.4838 14.8328 Å, 90.00 90.00 90.00°
With the nearest neighbours (Å) after each atom.
Fractional coordinates of all 64 atoms:
Zn 0.2500 0.7500 0.0000  4 O 2.03
Zn 0.2500 0.7500 0.5000  4 O 2.03
Zn 0.7500 0.2500 0.0000  4 O 2.03
Zn 0.7500 0.2500 0.5000  4 O 2.03
Si 0.0138 0.6109 0.1465  4 O 1.62
Si 0.0138 0.8891 0.6465  4 O 1.62
Si 0.1109 0.5138 0.3535  4 O 1.62
Si 0.1109 0.9862 0.8535  4 O 1.62
Si 0.3891 0.5138 0.8535  4 O 1.62
Si 0.3891 0.9862 0.3535  4 O 1.62
Si 0.4862 0.6109 0.6465  4 O 1.62
Si 0.4862 0.8891 0.1465  4 O 1.62
Si 0.5138 0.1109 0.8535  4 O 1.62
Si 0.5138 0.3891 0.3535  4 O 1.62
Si 0.6109 0.0138 0.6465  4 O 1.62
Si 0.6109 0.4862 0.1465  4 O 1.62
Si 0.8891 0.0138 0.1465  4 O 1.62
Si 0.8891 0.4862 0.6465  4 O 1.62
Si 0.9862 0.1109 0.3535  4 O 1.62
Si 0.9862 0.3891 0.8535  4 O 1.62
Sn 0.2500 0.2500 0.1169  4 O 2.36
Sn 0.2500 0.2500 0.6169  4 O 2.36
Sn 0.7500 0.7500 0.3831  4 O 2.36
Sn 0.7500 0.7500 0.8831  4 O 2.36
O 0.0117 0.1764 0.8685  2 Si 1.62
O 0.0117 0.3236 0.3685  2 Si 1.62
O 0.0410 0.6621 0.4253  1 Si 1.62
O 0.0410 0.8379 0.9253  1 Si 1.62
O 0.0758 0.5758 0.2500  2 Si 1.62
O 0.0758 0.9242 0.7500  2 Si 1.62
O 0.1621 0.5410 0.0747  1 Si 1.62
O 0.1621 0.9590 0.5747  1 Si 1.62
O 0.1764 0.0117 0.3685  2 Si 1.62
O 0.1764 0.4883 0.8685  2 Si 1.62
O 0.3236 0.0117 0.8685  2 Si 1.62
O 0.3236 0.4883 0.3685  2 Si 1.62
O 0.3379 0.5410 0.5747  1 Si 1.62
O 0.3379 0.9590 0.0747  1 Si 1.62
O 0.4242 0.5758 0.7500  2 Si 1.62
O 0.4242 0.9242 0.2500  2 Si 1.62
O 0.4590 0.6621 0.9253  1 Si 1.62
O 0.4590 0.8379 0.4253  1 Si 1.62
O 0.4883 0.1764 0.3685  2 Si 1.62
O 0.4883 0.3236 0.8685  2 Si 1.62
O 0.5117 0.6764 0.1315  2 Si 1.62
O 0.5117 0.8236 0.6315  2 Si 1.62
O 0.5410 0.1621 0.5747  1 Si 1.62
O 0.5410 0.3379 0.0747  1 Si 1.62
O 0.5758 0.0758 0.7500  2 Si 1.62
O 0.5758 0.4242 0.2500  2 Si 1.62
O 0.6621 0.0410 0.9253  1 Si 1.62
O 0.6621 0.4590 0.4253  1 Si 1.62
O 0.6764 0.5117 0.6315  2 Si 1.62
O 0.6764 0.9883 0.1315  2 Si 1.62
O 0.8236 0.5117 0.1315  2 Si 1.62
O 0.8236 0.9883 0.6315  2 Si 1.62
O 0.8379 0.0410 0.4253  1 Si 1.62
O 0.8379 0.4590 0.9253  1 Si 1.62
O 0.9242 0.0758 0.2500  2 Si 1.62
O 0.9242 0.4242 0.7500  2 Si 1.62
O 0.9590 0.1621 0.0747  1 Si 1.62
O 0.9590 0.3379 0.5747  1 Si 1.62
O 0.9883 0.6764 0.6315  2 Si 1.62
O 0.9883 0.8236 0.1315  2 Si 1.62


No. 8
Sr2SiO: single point on PBEsol structure, SCAN.

The calculation puts the total energy at -15.838 eV/atom. For the formation energy without anion corrections, the calculation gives -0.639 eV/atom.

Cell: 7.1708 7.1708 7.1708 Å, 90.00 90.00 90.00°
With the nearest neighbours (Å) after each atom.
Fractional coordinates of all 16 atoms:
Sr 0.2500 0.2500 0.2500  4 Si 3.11, 4 O 3.11
Sr 0.2500 0.2500 0.7500  4 O 3.11, 4 Si 3.11
Sr 0.2500 0.7500 0.2500  4 O 3.11, 4 Si 3.11
Sr 0.2500 0.7500 0.7500  4 Si 3.11, 4 O 3.11
Sr 0.7500 0.2500 0.2500  4 O 3.11, 4 Si 3.11
Sr 0.7500 0.2500 0.7500  4 Si 3.11, 4 O 3.11
Sr 0.7500 0.7500 0.2500  4 O 3.11, 4 Si 3.11
Sr 0.7500 0.7500 0.7500  4 O 3.11, 4 Si 3.11
Si 0.0000 0.0000 0.0000  8 Sr 3.11
Si 0.0000 0.5000 0.5000  8 Sr 3.11
Si 0.5000 0.0000 0.5000  8 Sr 3.11
Si 0.5000 0.5000 0.0000  8 Sr 3.11
O 0.0000 0.0000 0.5000  8 Sr 3.11
O 0.0000 0.5000 0.0000  8 Sr 3.11
O 0.5000 0.0000 0.0000  8 Sr 3.11
O 0.5000 0.5000 0.5000  8 Sr 3.11


No. 9
YTa2SiO: single point on PBEsol structure, SCAN.

The calculation puts the total energy at -36.055 eV/atom. For the formation energy without anion corrections, the calculation gives -0.603 eV/atom.

Cell: 4.0924 4.0924 5.0898 Å, 90.00 90.00 90.00°
With the nearest neighbours (Å) after each atom.
Fractional coordinates of all 5 atoms:
Y 0.0000 0.0000 0.0000  4 Si 2.89
Ta 0.0000 0.5000 0.5000  2 O 2.05
Ta 0.5000 0.0000 0.5000  2 O 2.05
Si 0.5000 0.5000 0.0000  2 O 2.54
O 0.5000 0.5000 0.5000  4 Ta 2.05


Q: Which value of formation energy without anion corrections does entry 1 give?
A: -2.340 eV/atom


Copy entry 5 word for word.
SiO2: single point on PBEsol structure, SCAN.

The calculation puts the total energy at -10.523 eV/atom. For the formation energy without anion corrections, the calculation gives -3.031 eV/atom.

Cell: 8.7899 7.7711 5.3004 Å, 82.17 61.15 36.68°
With the nearest neighbours (Å) after each atom.
Fractional coordinates of all 12 atoms:
Si 0.0618 0.0618 0.6882  4 O 1.61-1.63
Si 0.3118 0.3118 0.9382  4 O 1.61-1.63
Si 0.6882 0.6882 0.0618  4 O 1.61-1.63
Si 0.9382 0.9382 0.3118  4 O 1.61-1.63
O 0.0000 0.0000 0.0000  2 Si 1.61
O 0.0000 0.0000 0.5000  2 Si 1.61
O 0.0000 0.5000 0.0000  2 Si 1.61
O 0.1891 0.5609 0.1891  2 Si 1.63
O 0.4391 0.8109 0.4391  2 Si 1.63
O 0.5000 0.0000 0.0000  2 Si 1.61
O 0.5609 0.1891 0.5609  2 Si 1.63
O 0.8109 0.4391 0.8109  2 Si 1.63